## YUPa (PBE)

Data for an optimized crystal structure of YUPa.

Lattice parameters (Å, degrees): 6.7654 6.7654 5.3230 91.97 91.97 41.11
With the nearest neighbours (Å) after each atom.
Fractional coordinates of all 6 atoms:
Y 0.0757 0.0757 0.2574  3 U 3.19-3.29, 2 Y 3.27-3.29, 3 Pa 3.49-3.53
Y 0.9243 0.9243 0.7426  3 U 3.19-3.29, 2 Y 3.27-3.29, 3 Pa 3.49-3.53
U 0.2440 0.2440 0.7180  3 Pa 2.72-2.78
U 0.7560 0.7560 0.2820  3 Pa 2.72-2.78
Pa 0.3512 0.3512 0.1837  3 U 2.72-2.78
Pa 0.6488 0.6488 0.8163  3 U 2.72-2.78

Calculated values
E_form = 0.34 eV/atom
total DFT energy (no corrections) = -8.75 eV/atom
calculated volume = 26.68 Å³/atom